10
Lattice="-6.885 -0.691 -2.346 3.797 -1.820 5.971 -1.149 4.408 2.075" Properties=species:S:1:pos:R:3 comment="HRh3Pb, optimized geometry, DFT PBE" final_energy_ev_per_cell=-54.354 e_above_lowest_polymorph_mev_per_atom=456 magnetic_moment_mub_per_fu=0.0 n_ef_per_ev_atom=0.797 space_group="Cmcm (63)" pbc="T T T"
Pb 1.542 -0.510 4.958
Pb -5.780 2.407 0.742
H -1.228 -0.217 2.801
H -3.010 2.114 2.899
Rh -1.129 -0.927 4.363
Rh 0.392 0.310 2.578
Rh -4.630 1.587 3.122
Rh -3.109 2.824 1.337
Rh 0.000 0.000 0.000
Rh -0.575 2.204 1.037